Entry 1:
VASP calculation (GGA-PBE) on crystalline Cr2FeIr at its relaxed geometry.

Cell lengths 2.6186, 3.5731, 5.1990 Å; angles 90.00, 90.00, 90.00 degrees
Last column: nearest neighbours and their distance in Å.
Element x y z (fractional)
Cr (0.0000, 0.0000, 0.2280)  3 Cr 2.37-2.62, 4 Fe 2.51, 4 Ir 2.63
Cr (0.0000, 0.0000, 0.7720)  3 Cr 2.37-2.62, 4 Fe 2.51, 4 Ir 2.63
Fe (0.5000, 0.5000, 0.0000)  8 Cr 2.51, 2 Ir 2.60, 2 Fe 2.62
Ir (0.5000, 0.5000, 0.5000)  2 Fe 2.60, 2 Ir 2.62, 8 Cr 2.63

Calculated values
Relative energy among the computed polymorphs in kJ per mole of atoms: 2.7
Energy in eV per atom: -9.1674
Formation energy from the elements in kJ/mol of formula units: -10



Entry 2:
VASP calculation (GGA-PBE) on crystalline CrFeIr2 at its relaxed geometry.

Cell lengths 2.7779, 4.5005, 8.7516 Å; angles 90.00, 90.00, 90.00 degrees
Last column: nearest neighbours and their distance in Å.
Element x y z (fractional)
Cr (0.0000, 0.0000, 0.0000)  4 Ir 2.57, 6 Cr 2.64-2.78
Cr (0.5000, 0.5000, 0.0000)  4 Ir 2.57, 6 Cr 2.64-2.78
Fe (0.0000, 0.0000, 0.5000)  4 Ir 2.62, 6 Fe 2.64-2.78
Fe (0.5000, 0.5000, 0.5000)  4 Ir 2.62, 6 Fe 2.64-2.78
Ir (0.0000, 0.5000, 0.2467)  2 Cr 2.57, 2 Fe 2.62, 6 Ir 2.64-2.78
Ir (0.0000, 0.5000, 0.7533)  2 Cr 2.57, 2 Fe 2.62, 6 Ir 2.64-2.78
Ir (0.5000, 0.0000, 0.2467)  2 Cr 2.57, 2 Fe 2.62, 6 Ir 2.64-2.78
Ir (0.5000, 0.0000, 0.7533)  2 Cr 2.57, 2 Fe 2.62, 6 Ir 2.64-2.78

Calculated values
Energy in eV per atom: -8.7972
Formation energy from the elements in kJ/mol of formula units: 60



Entry 3:
VASP calculation (GGA-PBE) on crystalline CrFeIr2 at its relaxed geometry.

Cell lengths 2.6863, 2.6863, 7.3454 Å; angles 90.00, 90.00, 90.00 degrees
Last column: nearest neighbours and their distance in Å.
Element x y z (fractional)
Cr (0.0000, 0.0000, 0.0000)  8 Ir 2.61, 4 Cr 2.69
Fe (0.0000, 0.0000, 0.5000)  8 Ir 2.68, 4 Fe 2.69
Ir (0.5000, 0.5000, 0.2436)  4 Cr 2.61, 4 Fe 2.68, 4 Ir 2.69
Ir (0.5000, 0.5000, 0.7564)  4 Cr 2.61, 4 Fe 2.68, 4 Ir 2.69

Calculated values
Energy in eV per atom: -9.0797
Formation energy from the elements in kJ/mol of formula units: -49